# 1
The following is a DFT calculation (PBE) of an optimized crystal structure of Rb3PuGe2I9.

Values from the calculation:
- SG = P-3m1 (164)
- energy relative to the elements, uncorrected (kJ/mol of atoms) = -87

a b c (Å): 8.6139 8.6139 10.6078
angles (deg): 90.00 90.00 120.00
Site moments in Bohr magnetons follow the coordinates.
Fractional positions:
I (0.3397, 0.1699, 0.6726)  -0.01
I (0.5000, 0.5000, 0.0000)  0.00
I (0.8301, 0.6603, 0.6726)  -0.01
Rb (0.0000, 0.0000, 0.0000)  0.00
I (0.1699, 0.8301, 0.3274)  -0.01
Rb (0.3333, 0.6667, 0.6915)  0.00
I (0.1699, 0.3397, 0.3274)  -0.01
I (0.0000, 0.5000, 0.0000)  0.00
Pu (0.0000, 0.0000, 0.5000)  5.56
Ge (0.6667, 0.3333, 0.8440)  0.09
I (0.5000, 0.0000, 0.0000)  0.00
Ge (0.3333, 0.6667, 0.1560)  0.09
I (0.6603, 0.8301, 0.3274)  -0.01
Rb (0.6667, 0.3333, 0.3085)  0.00
I (0.8301, 0.1699, 0.6726)  -0.01



# 2
The following is a DFT calculation (PBE) of an optimized crystal structure of PmTm2Hg8.

Values from the calculation:
- ΔH_f (0 K) (eV/atom) = -0.289
- excess energy over the best structure of this formula in the dataset (eV/f.u.) = 0.174
- SG = Immm (71)

a b c (Å): 5.0681 7.6305 8.4615
angles (deg): 116.81 107.43 90.00
Fractional positions:
Hg (0.0001, 0.2981, 0.0002)
Hg (0.3507, 0.1438, 0.7014)
Tm (0.8037, 0.3033, 0.6073)
Hg (0.6496, 0.4424, 0.2992)
Hg (0.9999, 0.7019, 0.9998)
Tm (0.1963, 0.6967, 0.3927)
Hg (0.1553, 0.1550, 0.3106)
Hg (0.8447, 0.8450, 0.6894)
Pm (0.5000, 0.0000, 0.0000)
Hg (0.3504, 0.5576, 0.7008)
Hg (0.6493, 0.8562, 0.2986)



# 3
The following is a DFT calculation (PBE) of an optimized crystal structure of Tb3PmY4.

Values from the calculation:
- ΔH_f (0 K) (eV/atom) = 0.173
- excess energy over the best structure of this formula in the dataset (eV/f.u.) = 1.314
- SG = Immm (71)

a b c (Å): 3.4849 6.6879 15.2856
angles (deg): 131.02 96.55 90.00
Fractional positions:
Y (0.3748, 0.3685, 0.7497)
Tb (0.0000, 0.5000, 0.0000)
Tb (0.7604, 0.7817, 0.5208)
Y (0.6252, 0.6315, 0.2503)
Y (0.6253, 0.1203, 0.2506)
Tb (0.2396, 0.2183, 0.4792)
Pm (0.5000, 0.0000, 0.0000)
Y (0.3747, 0.8797, 0.7494)



# 4
The following is a DFT calculation (PBE) of an optimized crystal structure of NaAg2Hg.

Values from the calculation:
- ΔH_f (0 K) (eV/atom) = -0.032
- SG = P4/mmm (123)

a b c (Å): 4.3387 4.3448 4.3448
angles (deg): 90.00 90.00 90.00
Fractional positions:
Ag (0.0000, 0.5000, 0.0000)
Na (0.5000, 0.0000, 0.0000)
Hg (0.5000, 0.5000, 0.5000)
Ag (0.0000, 0.0000, 0.5000)



# 5
The following is a DFT calculation (PBE) of an optimized crystal structure of Al2SiBr.

Values from the calculation:
- excess energy over the best structure of this formula in the dataset (eV/f.u.) = 1.012
- SG = Cmm2 (35)
- energy relative to the elements, uncorrected (kJ/mol of atoms) = 21

a b c (Å): 3.1238 3.1238 9.3998
angles (deg): 90.00 90.00 108.35
Fractional positions:
Si (0.5000, 0.5000, 0.8202)
Al (0.5000, 0.5000, 0.2344)
Al (0.0000, 0.0000, 0.0149)
Br (0.0000, 0.0000, 0.4305)



# 6
The following is a DFT calculation (PBE) of an optimized crystal structure of BaSr2Ca.

Values from the calculation:
- ΔH_f (0 K) (eV/atom) = 0.017
- excess energy over the best structure of this formula in the dataset (eV/f.u.) = 0.002
- SG = Pmm2 (25)

a b c (Å): 4.3376 5.7086 8.6639
angles (deg): 90.00 90.00 90.00
Fractional positions:
Ba (0.0000, 0.0000, 0.5090)
Sr (0.0000, 0.0000, 0.9918)
Sr (0.5000, 0.5000, 0.2420)
Ca (0.5000, 0.5000, 0.7572)



# 7
The following is a DFT calculation (PBE) of an optimized crystal structure of ZrMn3Ru.

Values from the calculation:
- ΔH_f (0 K) (eV/atom) = 0.925
- excess energy over the best structure of this formula in the dataset (eV/f.u.) = 0.000
- SG = Pm-3m (221)

a b c (Å): 4.5749 4.5749 4.5749
angles (deg): 90.00 90.00 90.00
Site moments in Bohr magnetons follow the coordinates.
Fractional positions:
Zr (0.5000, 0.5000, 0.5000)  -0.73
Mn (0.0000, 0.0000, 0.5000)  3.13
Mn (0.5000, 0.0000, 0.0000)  3.17
Ru (0.0000, 0.0000, 0.0000)  -0.14
Mn (0.0000, 0.5000, 0.0000)  3.23



# 8
The following is a DFT calculation (PBE) of an optimized crystal structure of TbPr6Sc8.

Values from the calculation:
- ΔH_f (0 K) (eV/atom) = 0.183
- SG = R-3 (148)

a b c (Å): 9.3465 9.3465 8.0004
angles (deg): 54.26 54.26 60.00
Fractional positions:
Pr (0.1680, 0.6212, 0.7839)
Pr (0.8320, 0.3788, 0.2161)
Pr (0.6212, 0.4270, 0.7839)
Pr (0.3788, 0.5730, 0.2161)
Sc (0.1274, 0.9514, 0.3016)
Sc (0.7764, 0.7764, 0.6707)
Tb (0.0000, 0.0000, 0.0000)
Sc (0.2236, 0.2236, 0.3293)
Pr (0.4270, 0.1680, 0.7839)
Sc (0.6195, 0.1274, 0.3016)
Pr (0.5730, 0.8320, 0.2161)
Sc (0.9514, 0.6195, 0.3016)
Sc (0.8726, 0.0486, 0.6984)
Sc (0.3805, 0.8726, 0.6984)
Sc (0.0486, 0.3805, 0.6984)



# 9
The following is a DFT calculation (PBE) of an optimized crystal structure of Rb3TiBr7.

Values from the calculation:
- SG = Cm (8)
- energy relative to the elements, uncorrected (kJ/mol of atoms) = -141

a b c (Å): 7.0841 7.0841 9.0260
angles (deg): 77.54 77.54 91.57
Fractional positions:
Rb (0.6968, 0.1535, 0.4722)
Br (0.6190, 0.6190, 0.5190)
Br (0.0208, 0.3661, 0.8332)
Br (0.8977, 0.8977, 0.7720)
Br (0.3661, 0.0208, 0.8332)
Ti (0.0190, 0.0190, 0.9833)
Br (0.6775, 0.0338, 0.1238)
Rb (0.4992, 0.4992, 0.9154)
Br (0.1417, 0.1417, 0.2019)
Br (0.0338, 0.6775, 0.1238)
Rb (0.1535, 0.6968, 0.4722)



# 10
The following is a DFT calculation (PBE) of an optimized crystal structure of Dy2YSbN4.

Values from the calculation:
- SG = P2/m (10)
- energy relative to the elements, uncorrected (kJ/mol of atoms) = -102

a b c (Å): 3.4847 6.0487 6.0503
angles (deg): 109.32 90.00 90.00
Fractional positions:
N (0.5000, 0.7380, 0.7372)
N (0.5000, 0.2620, 0.2628)
Dy (0.0000, 0.5000, 0.5000)
N (0.0000, 0.2551, 0.7437)
Dy (0.5000, 0.0000, 0.5000)
Sb (0.0000, 0.0000, 0.0000)
Y (0.5000, 0.5000, 0.0000)
N (0.0000, 0.7449, 0.2563)



# 11
The following is a DFT calculation (PBE) of an optimized crystal structure of Rb2ZnI4.

Values from the calculation:
- excess energy over the best structure of this formula in the dataset (eV/f.u.) = 0.000
- SG = P2_1/m (11)
- energy relative to the elements, uncorrected (kJ/mol of atoms) = -109

a b c (Å): 8.2610 8.1242 10.3861
angles (deg): 71.50 90.00 90.00
Fractional positions:
I (0.7500, 0.9130, 0.3619)
I (0.0014, 0.4986, 0.2664)
I (0.5014, 0.5014, 0.7336)
I (0.9986, 0.5014, 0.7336)
Rb (0.2500, 0.7151, 0.9521)
Rb (0.2500, 0.7771, 0.4261)
Rb (0.7500, 0.2229, 0.5739)
I (0.7500, 0.8816, 0.9425)
I (0.2500, 0.0870, 0.6381)
I (0.2500, 0.1184, 0.0575)
Rb (0.7500, 0.2849, 0.0479)
Zn (0.7500, 0.7124, 0.2051)
Zn (0.2500, 0.2876, 0.7949)
I (0.4986, 0.4986, 0.2664)



# 12
The following is a DFT calculation (PBE) of an optimized crystal structure of Pr3AlGa2Cu6.

Values from the calculation:
- ΔH_f (0 K) (eV/atom) = -0.168
- SG = P-3m1 (164)

a b c (Å): 5.6659 5.6659 8.4872
angles (deg): 90.00 90.00 120.00
Fractional positions:
Cu (0.1816, 0.3633, 0.2807)
Cu (0.1816, 0.8184, 0.2807)
Cu (0.8184, 0.1816, 0.7193)
Cu (0.8184, 0.6367, 0.7193)
Cu (0.6367, 0.8184, 0.2807)
Ga (0.6667, 0.3333, 0.9689)
Ga (0.3333, 0.6667, 0.0311)
Al (0.0000, 0.0000, 0.5000)
Pr (0.3333, 0.6667, 0.6261)
Cu (0.3633, 0.1816, 0.7193)
Pr (0.0000, 0.0000, 0.0000)
Pr (0.6667, 0.3333, 0.3739)